one:
Below is an optimized crystal structure of CsIrN2, with properties calculated at the PBEsol level.

```
8
Lattice="5.8670 0.0685 0.1011 -2.6328 5.2435 -0.1011 -2.6328 -2.0375 4.8325" Properties=species:S:1:pos:R:3 pbc="T T T"
Cs -2.6328 1.6030 2.3657
Cs 0.3007 -0.1831 3.6496
Ir 0.0000 0.0000 0.0000
Ir 0.3007 3.4575 1.1829
N 1.5222 4.5340 0.2174
N 0.3955 1.5795 0.9654
N 0.6962 3.7687 3.0077
N -1.4113 3.9478 0.5409
```

=====

two:
Below is an optimized crystal structure of CsIrN2, with properties calculated at the PBEsol level.

```
4
Lattice="-0.5490 -2.3701 -3.5119 3.3034 -2.1241 -1.6815 0.1514 -4.2620 0.2541" Properties=species:S:1:pos:R:3 pbc="T T T"
Cs 0.0000 0.0000 0.0000
Ir 1.4529 -4.3781 -2.4696
N 0.7265 -2.1891 -1.2348
N 2.1794 -6.5672 -3.7045
```

=====

Computed stability ranking, most favorable first: one, two

=====

one:
Below is an optimized crystal structure of CsSbTe2Ir, with properties calculated at the PBEsol level.

```
5
Lattice="-0.0830 -5.5224 2.5818 5.7257 0.5364 1.3315 -1.4333 2.4428 5.1790" Properties=species:S:1:pos:R:3 pbc="T T T"
Cs 0.0000 0.0000 0.0000
Sb -0.0415 -2.7612 1.2909
Ir 2.1047 -1.2716 4.5462
Te -0.7166 1.2214 2.5895
Te 2.8628 0.2682 0.6658
```

=====

two:
Below is an optimized crystal structure of CsSbTe2Ir, with properties calculated at the PBEsol level.

```
5
Lattice="4.9769 0.0000 0.0000 0.0000 5.5951 0.0000 0.0000 0.0000 5.5951" Properties=species:S:1:pos:R:3 pbc="T T T"
Cs 2.4884 2.7976 2.7976
Sb 2.4884 0.0000 0.0000
Ir 0.0000 0.0000 0.0000
Te 0.0000 0.0000 2.7976
Te 0.0000 2.7976 0.0000
```

=====

Computed stability ranking, most favorable first: two, one

=====

one:
Below is an optimized crystal structure of Cs2KNa2, with properties calculated at the PBEsol level.

```
5
Lattice="-0.0259 4.5415 -1.8508 -4.8533 0.2422 0.6622 4.5415 3.0821 13.9968" Properties=species:S:1:pos:R:3 pbc="T T T"
Cs 1.5843 4.1258 10.1016
Cs -1.9219 3.7400 2.7065
Na -1.3757 2.8581 7.0323
Na 1.0380 5.0077 5.7758
K 0.0000 0.0000 0.0000
```

=====

two:
Below is an optimized crystal structure of Cs2KNa2, with properties calculated at the PBEsol level.

```
10
Lattice="-0.0889 4.3005 1.7158 1.8292 -4.3901 11.0980 11.9325 0.8909 -1.6143" Properties=species:S:1:pos:R:3 pbc="T T T"
Cs 10.9405 -0.8194 2.6208
Cs 9.1952 -3.2130 8.5296
Cs 2.8212 -2.6799 6.8629
Cs 4.5665 -0.2862 0.9541
Na 8.1282 2.0346 1.5713
Na 11.1828 -0.0007 6.8308
Na 5.5446 -1.2334 9.6282
Na 2.4900 0.8019 4.3688
K 0.0000 0.0000 0.0000
K 6.8808 -1.7496 4.7418
```

=====

three:
Below is an optimized crystal structure of Cs2KNa2, with properties calculated at the PBEsol level.

```
5
Lattice="-1.4994 0.2916 -6.1919 -2.7933 -5.7188 0.4071 -5.7256 6.7077 4.9867" Properties=species:S:1:pos:R:3 pbc="T T T"
Cs -5.3327 -0.8623 1.2507
Cs -4.6857 2.1429 -2.0488
Na -6.4658 3.2807 1.7202
Na -3.5525 -2.0001 -2.5183
K 0.0000 0.0000 0.0000
```

=====

Computed stability ranking, most favorable first: one, two, three

=====

one:
Below is an optimized crystal structure of CsLaRu3, with properties calculated at the PBEsol level.

```
5
Lattice="-0.6728 3.0844 3.6931 -4.7057 -1.2004 0.1453 1.0047 -3.5568 3.1536" Properties=species:S:1:pos:R:3 pbc="T T T"
Cs 0.0000 0.0000 0.0000
Ru -2.3528 -0.6002 0.0727
Ru 0.5024 -1.7784 1.5768
Ru -0.3364 1.5422 1.8466
La -2.1869 -0.8364 3.4960
```

=====

two:
Below is an optimized crystal structure of CsLaRu3, with properties calculated at the PBEsol level.

```
5
Lattice="-4.6517 1.8635 -0.2942 -1.7551 -3.9874 2.4935 0.6920 2.4136 4.3466" Properties=species:S:1:pos:R:3 pbc="T T T"
Cs -2.8574 0.1448 3.2730
Ru -0.8776 -1.9937 1.2468
Ru 0.3460 1.2068 2.1733
Ru -2.3258 0.9318 -0.1471
La 0.0000 0.0000 0.0000
```

=====

Computed stability ranking, most favorable first: two, one

=====

one:
Below is an optimized crystal structure of CsLaZr3, with properties calculated at the PBEsol level.

```
5
Lattice="5.2900 0.0000 0.0000 0.0000 5.2900 0.0000 0.0000 0.0000 5.2900" Properties=species:S:1:pos:R:3 pbc="T T T"
Cs 0.0000 0.0000 0.0000
Zr 0.0000 2.6450 0.0000
Zr 0.0000 0.0000 2.6450
Zr 2.6450 0.0000 0.0000
La 2.6450 2.6450 2.6450
```

=====

two:
Below is an optimized crystal structure of CsLaZr3, with properties calculated at the PBEsol level.

```
5
Lattice="-0.6138 -3.8212 -3.7048 3.0587 -3.3052 2.9023 -4.3556 -1.7826 2.5602" Properties=species:S:1:pos:R:3 pbc="T T T"
Cs -0.9553 -4.4545 0.8789
Zr 1.5293 -1.6526 1.4511
Zr -2.1778 -0.8913 1.2801
Zr -0.3069 -1.9106 -1.8524
La 0.0000 0.0000 0.0000
```

=====

Computed stability ranking, most favorable first: two, one

=====

one:
Below is an optimized crystal structure of CsLiSO4, with properties calculated at the PBEsol level.

```
28
Lattice="-1.6879 -5.1336 0.6414 3.8459 -0.1291 9.0883 -10.5328 4.0272 4.5143" Properties=species:S:1:pos:R:3 pbc="T T T"
Cs -3.5086 0.0083 2.3762
Cs -8.3357 -0.5879 7.9865
Cs -0.0392 -0.6475 6.2575
Cs -4.8663 -1.2437 11.8678
Li 2.7594 -1.3134 8.2922
Li -4.3847 -1.8319 8.4273
Li -3.9902 0.5965 5.8167
Li -11.1343 0.0781 5.9518
S -8.3272 -0.0826 12.0537
S -2.5706 0.4825 8.6399
S -5.8043 -1.7179 5.6041
S -0.0477 -1.1528 2.1903
O -7.3881 -0.2474 13.2061
O -3.5657 -0.3890 9.3250
O -2.8141 1.8968 9.0394
O -1.1998 0.0765 8.9976
O -7.6336 -0.4659 10.8112
O 1.0121 -4.9746 7.7558
O 1.7637 -2.6888 7.4702
O -2.7454 0.3551 7.1599
O -5.6295 -1.5905 7.0841
O -10.1386 1.4534 6.7738
O -9.3870 3.7392 6.4882
O -0.7413 -0.7695 3.4328
O -7.1751 -1.3119 5.2464
O -5.5608 -3.1322 5.2046
O -4.8092 -0.8464 4.9190
O -0.9868 -0.9880 1.0379
```

=====

two:
Below is an optimized crystal structure of CsLiSO4, with properties calculated at the PBEsol level.

```
28
Lattice="-1.5347 -2.4529 -4.5632 8.3307 -2.9548 -1.2134 -2.0352 -7.7057 4.7915" Properties=species:S:1:pos:R:3 pbc="T T T"
Cs 2.5910 -5.0024 -2.9267
Cs -1.7211 -4.0157 -2.1326
Cs 2.1698 -8.1110 1.9415
Cs 6.4819 -9.0976 1.1475
Li 6.2827 -3.7136 -1.7463
Li 1.4620 -4.7458 0.4724
Li -1.5219 -9.3998 0.7611
Li 3.2988 -8.3676 -1.4576
S 4.6011 -5.9200 -0.0004
S 1.1327 -1.8260 -0.9806
S 0.1597 -7.1933 -0.9848
S 3.6281 -11.2873 -0.0046
O 5.3854 -5.7692 1.2550
O 1.3038 -2.3157 -2.3752
O -0.6246 -7.3441 -2.2402
O 3.4570 -10.7976 1.3900
O 5.0366 -11.6826 -0.2293
O 1.5087 -7.7761 -1.1617
O -0.2758 -1.4308 -0.7559
O 3.2521 -5.3373 0.1765
O 4.7690 -4.7511 -5.0130
O 0.2730 -5.7468 -0.6540
O -0.0082 -8.3622 4.0278
O 4.4878 -7.3666 -0.3312
O 3.2650 -10.2135 -0.9618
O -0.5313 -7.8933 0.1260
O 1.4958 -2.8999 -0.0234
O 5.2921 -5.2201 -1.1112
```

=====

Computed stability ranking, most favorable first: two, one

=====

one:
Below is an optimized crystal structure of CsLi3Pb, with properties calculated at the PBEsol level.

```
5
Lattice="5.4397 0.0000 0.0000 0.0000 5.4397 0.0000 0.0000 0.0000 5.4397" Properties=species:S:1:pos:R:3 pbc="T T T"
Pb 0.0000 0.0000 0.0000
Cs 2.7199 2.7199 2.7199
Li 0.0000 2.7199 0.0000
Li 0.0000 0.0000 2.7199
Li 2.7199 0.0000 0.0000
```

=====

two:
Below is an optimized crystal structure of CsLi3Pb, with properties calculated at the PBEsol level.

```
5
Lattice="-1.0653 4.8559 1.5989 -2.3437 0.9876 -4.5611 -4.5436 -1.6480 1.9778" Properties=species:S:1:pos:R:3 pbc="T T T"
Pb -3.9762 2.0978 -0.4922
Cs 0.0000 0.0000 0.0000
Li -1.1718 0.4938 -2.2805
Li -2.2718 -0.8240 0.9889
Li -0.5326 2.4280 0.7994
```

=====

Computed stability ranking, most favorable first: one, two

=====

one:
Below is an optimized crystal structure of CsRb2Li2, with properties calculated at the PBEsol level.

```
5
Lattice="6.8470 0.0000 0.0000 0.0000 6.8470 0.0000 -3.4235 -3.4235 7.0305" Properties=species:S:1:pos:R:3 pbc="T T T"
Cs 0.0000 0.0000 0.0000
Rb 0.0000 0.0000 4.9806
Rb 3.4235 3.4235 2.0499
Li 0.0000 3.4235 3.5153
Li 3.4235 0.0000 3.5153
```

=====

two:
Below is an optimized crystal structure of CsRb2Li2, with properties calculated at the PBEsol level.

```
5
Lattice="-4.2842 4.4741 0.4446 -0.2325 -0.8338 6.1498 8.1600 3.7341 -2.3211" Properties=species:S:1:pos:R:3 pbc="T T T"
Cs 0.0000 0.0000 0.0000
Rb 2.8346 2.3602 3.5630
Rb 0.8087 5.0141 0.7104
Li 4.8401 4.5551 0.8005
Li -1.1967 2.8193 3.4728
```

=====

Computed stability ranking, most favorable first: two, one

=====

one:
Below is an optimized crystal structure of CsLi3Sb, with properties calculated at the PBEsol level.

```
5
Lattice="5.2188 0.0000 0.0000 0.0000 5.2188 0.0000 0.0000 0.0000 5.2188" Properties=species:S:1:pos:R:3 pbc="T T T"
Cs 0.0000 0.0000 0.0000
Sb 2.6094 2.6094 2.6094
Li 0.0000 2.6094 0.0000
Li 0.0000 0.0000 2.6094
Li 2.6094 0.0000 0.0000
```

=====

two:
Below is an optimized crystal structure of CsLi3Sb, with properties calculated at the PBEsol level.

```
5
Lattice="5.3749 0.0000 0.0000 0.0000 5.3749 0.0000 0.0000 0.0000 5.3749" Properties=species:S:1:pos:R:3 pbc="T T T"
Cs 2.6874 2.6874 2.6874
Sb 0.0000 0.0000 0.0000
Li 0.0000 2.6874 0.0000
Li 0.0000 0.0000 2.6874
Li 2.6874 0.0000 0.0000
```

=====

Computed stability ranking, most favorable first: two, one

=====

one:
Below is an optimized crystal structure of CsMgOs3, with properties calculated at the PBEsol level.

```
5
Lattice="-0.4840 2.7420 4.0084 2.7523 -3.1641 2.4968 4.0014 2.5081 -1.2325" Properties=species:S:1:pos:R:3 pbc="T T T"
Cs 0.0000 0.0000 0.0000
Mg 3.1348 1.0430 2.6364
Os 1.3761 -1.5820 1.2484
Os 2.0007 1.2540 -0.6162
Os -0.2420 1.3710 2.0042
```

=====

two:
Below is an optimized crystal structure of CsMgOs3, with properties calculated at the PBEsol level.

```
5
Lattice="4.7356 0.0000 0.0000 0.0000 4.7356 0.0000 0.0000 0.0000 4.7356" Properties=species:S:1:pos:R:3 pbc="T T T"
Cs 2.3678 2.3678 2.3678
Mg 0.0000 0.0000 0.0000
Os 0.0000 2.3678 0.0000
Os 0.0000 0.0000 2.3678
Os 2.3678 0.0000 0.0000
```

=====

Computed stability ranking, most favorable first: two, one

=====

one:
Below is an optimized crystal structure of CsMgP2S, with properties calculated at the PBEsol level.

```
5
Lattice="-2.4901 1.3789 -3.9815 2.7176 -3.0725 -2.7637 -3.2781 -3.6169 0.7976" Properties=species:S:1:pos:R:3 pbc="T T T"
Cs -1.5253 -2.6553 -2.9738
P -1.6390 -1.8085 0.3988
P 1.3588 -1.5362 -1.3819
S 0.0000 0.0000 0.0000
Mg -1.2451 0.6894 -1.9907
```

=====

two:
Below is an optimized crystal structure of CsMgP2S, with properties calculated at the PBEsol level.

```
5
Lattice="4.9680 0.0000 0.0000 0.0000 4.9680 0.0000 0.0000 0.0000 5.0114" Properties=species:S:1:pos:R:3 pbc="T T T"
Cs 2.4840 2.4840 2.5057
P 0.0000 2.4840 0.0000
P 2.4840 0.0000 0.0000
S 0.0000 0.0000 2.5057
Mg 0.0000 0.0000 0.0000
```

=====

Computed stability ranking, most favorable first: two, one

=====

one:
Below is an optimized crystal structure of Cs2Mn3S4, with properties calculated at the PBEsol level.

```
9
Lattice="-2.3020 -0.9210 -4.9267 -4.2012 -2.6045 2.4500 -5.5611 4.7384 1.7127" Properties=species:S:1:pos:R:3 pbc="T T T"
Cs -4.5191 1.6736 -2.8645
Cs -5.4446 0.8415 0.8754
Mn -3.2516 -1.7628 -1.2384
Mn -1.1510 -0.4605 -2.4633
Mn -2.1006 -1.3023 1.2250
S -5.4347 -1.4807 -1.7331
S -2.3500 0.1920 -0.5631
S -7.7199 2.2574 -1.3641
S -8.6242 1.4570 2.1321
```

=====

two:
Below is an optimized crystal structure of Cs2Mn3S4, with properties calculated at the PBEsol level.

```
18
Lattice="-0.0965 2.4955 -5.4411 -8.2814 4.4018 -1.1280 1.9072 9.2082 0.8956" Properties=species:S:1:pos:R:3 pbc="T T T"
Cs 0.6701 9.2214 -0.6235
Cs -2.0437 9.2117 -3.8735
Cs -4.4271 6.8937 -1.8000
Cs -7.1409 6.8840 -5.0500
Mn -1.6177 4.0264 -1.4184
Mn -4.8531 12.0791 -4.2551
Mn -3.9608 4.1915 -4.5947
Mn 0.6289 6.3567 -3.6832
Mn -7.0997 9.7487 -1.9904
Mn -2.5100 11.9139 -1.0788
S -3.6694 6.4048 -5.4475
S 0.3795 3.0591 -0.4664
S -2.4041 2.8500 -3.3750
S -0.8732 6.2869 -1.8258
S -4.0667 13.2554 -2.2985
S -5.5975 9.8185 -3.8477
S -6.8502 13.0463 -5.2071
S -2.8013 9.7006 -0.2260
```

=====

Computed stability ranking, most favorable first: one, two